[1]
Below is an optimized crystal structure of SmPuNi17, with properties calculated at the GGA-PBE level.

The value obtained for the uncorrected energy is -6.312 eV/atom. Its density of states at the Fermi level is 2.01 states/eV per atom.

It has space group R3m (No. 160, hexagonal axes), with a = 8.3073 Å, b = 8.3073 Å, c = 12.0807 Å, α = 90.00°, β = 90.00° and γ = 120.00°. Symmetry generates all atoms from Sm at (0.0000, 0.0000, 0.0000), Pu at (0.0000, 0.0000, 0.3212), Ni at (0.0000, 0.0000, 0.5602), Ni at (0.0000, 0.0000, 0.7577), Ni at (0.0004, 0.5002, 0.1599), Ni at (0.0402, 0.3728, 0.3267), Ni at (0.1670, 0.3341, 0.8400) and Ni at (0.1675, 0.3350, 0.1473).

***

[2]
Below is an optimized crystal structure of PuNi6Sn2, with properties calculated at the GGA-PBE level.

The value obtained for the uncorrected energy is -6.345 eV/atom. Its density of states at the Fermi level is 1.75 states/eV per atom.

It has space group Immm (No. 71), with a = 3.2007 Å, b = 6.7811 Å, c = 12.7336 Å, α = 90.00°, β = 90.00° and γ = 90.00°. Symmetry generates all atoms from Pu at (0.0000, 0.0000, 0.0000), Ni at (0.0000, 0.1752, 0.5000), Ni at (0.0000, 0.3158, 0.3240) and Sn at (0.0000, 0.5000, 0.1451).

***

The lowest uncorrected energy belongs to which entry? PuNi6Sn2